Record 1
{
  "formula": "CrSiH8O4F6",
  "functional": "PBE+U",
  "state": "optimized geometry",
  "e_tot_ev_per_cell": -215.02,
  "space_group": "P2_1/c, No. 14",
  "lattice_angstrom": [[5.572, 0.000, 0.000], [0.000, 9.883, 0.000], [-1.737, 0.000, 7.228]],
  "species": ["Cr", "Cr", "Si", "Si", "H", "H", "H", "H", "H", "H", "H", "H", "H", "H", "H", "H", "H", "H", "H", "H", "O", "O", "O", "O", "O", "O", "O", "O", "F", "F", "F", "F", "F", "F", "F", "F", "F", "F", "F", "F"],
  "frac_coords": [[0.000, 0.000, 0.000], [0.000, 0.500, 0.500], [0.500, 0.000, 0.500], [0.500, 0.500, 0.000], [0.229, 0.236, 0.957], [0.229, 0.264, 0.457], [0.233, 0.145, 0.782], [0.233, 0.355, 0.282], [0.242, 0.730, 0.448], [0.242, 0.770, 0.948], [0.249, 0.632, 0.278], [0.249, 0.868, 0.778], [0.751, 0.132, 0.222], [0.751, 0.368, 0.722], [0.758, 0.230, 0.052], [0.758, 0.270, 0.552], [0.767, 0.645, 0.718], [0.767, 0.855, 0.218], [0.771, 0.736, 0.543], [0.771, 0.764, 0.043], [0.142, 0.162, 0.879], [0.142, 0.338, 0.379], [0.230, 0.635, 0.407], [0.230, 0.865, 0.907], [0.770, 0.135, 0.093], [0.770, 0.365, 0.593], [0.858, 0.662, 0.621], [0.858, 0.838, 0.121], [0.288, 0.612, 0.054], [0.288, 0.888, 0.554], [0.306, 0.032, 0.293], [0.306, 0.468, 0.793], [0.369, 0.132, 0.598], [0.369, 0.368, 0.098], [0.631, 0.632, 0.902], [0.631, 0.868, 0.402], [0.694, 0.532, 0.207], [0.694, 0.968, 0.707], [0.712, 0.112, 0.446], [0.712, 0.388, 0.946]]
}

***

Record 2
{
  "formula": "MoH2O4",
  "functional": "PBE+U",
  "state": "optimized geometry",
  "de_polymorph_ev_per_fu": 0.08,
  "space_group": "P1, No. 1",
  "lattice_angstrom": [[3.988, 0.000, 0.000], [-0.035, 4.014, 0.000], [-0.618, -2.002, 5.246]],
  "species": ["Mo", "H", "H", "O", "O", "O", "O"],
  "frac_coords": [[0.000, 0.000, 0.000], [0.071, 0.490, 0.549], [0.090, 0.944, 0.456], [0.020, 0.749, 0.641], [0.048, 0.439, 0.000], [0.132, 0.109, 0.359], [0.561, 0.951, 0.000]]
}